DFT (PBE) results for a geometry-optimized Ac3Dy3Y structure.

a b c (Å): 9.9028 9.9028 8.3727
angles (deg): 53.75 53.75 60.00
With the nearest neighbours (Å) after each atom.
Fractional positions:
1 Ac 0.3241 0.8843 0.7482  5 Dy 3.63-3.89, 2 Y 3.74-3.87, 5 Ac 3.78-3.82
2 Ac 0.8843 0.0434 0.7482  5 Dy 3.63-3.89, 2 Y 3.74-3.87, 5 Ac 3.78-3.82
3 Ac 0.0434 0.3241 0.7482  5 Dy 3.63-3.89, 2 Y 3.74-3.87, 5 Ac 3.78-3.82
4 Ac 0.9566 0.6759 0.2518  5 Dy 3.63-3.89, 2 Y 3.74-3.87, 5 Ac 3.78-3.82
5 Ac 0.1157 0.9566 0.2518  5 Dy 3.63-3.89, 2 Y 3.74-3.87, 5 Ac 3.78-3.82
6 Ac 0.6759 0.1157 0.2518  5 Dy 3.63-3.89, 2 Y 3.74-3.87, 5 Ac 3.78-3.82
7 Dy 0.4012 0.5325 0.2507  2 Y 3.60-3.78, 5 Dy 3.63-3.75, 5 Ac 3.63-3.89
8 Dy 0.8156 0.4012 0.2507  2 Y 3.60-3.78, 5 Dy 3.63-3.75, 5 Ac 3.63-3.89
9 Dy 0.5325 0.8156 0.2507  2 Y 3.60-3.78, 5 Dy 3.63-3.75, 5 Ac 3.63-3.89
10 Dy 0.4675 0.1844 0.7493  2 Y 3.60-3.78, 5 Dy 3.63-3.75, 5 Ac 3.63-3.89
11 Dy 0.1844 0.5988 0.7493  2 Y 3.60-3.78, 5 Dy 3.63-3.75, 5 Ac 3.63-3.89
12 Dy 0.5988 0.4675 0.7493  2 Y 3.60-3.78, 5 Dy 3.63-3.75, 5 Ac 3.63-3.89
13 Y 0.7426 0.7426 0.7720  6 Dy 3.60-3.78, 6 Ac 3.74-3.87
14 Y 0.2574 0.2574 0.2280  6 Dy 3.60-3.78, 6 Ac 3.74-3.87

ΔH_f (0 K) in meV per atom: 63
DOS(E_F) in states/eV/f.u.: 11.00
Symmetry: R-3 (148)


DFT (PBE) results for a geometry-optimized Ac2Dy7Y2 structure.

a b c (Å): 3.7096 10.6673 10.6673
angles (deg): 68.16 100.07 100.07
With the nearest neighbours (Å) after each atom.
Fractional positions:
1 Ac 0.3058 0.8067 0.8067  10 Dy 3.68-3.90, 2 Ac 3.71
2 Ac 0.6942 0.1933 0.1933  10 Dy 3.68-3.90, 2 Ac 3.71
3 Dy 0.1669 0.4345 0.8992  2 Y 3.44, 6 Dy 3.44-3.71, 3 Ac 3.68-3.73
4 Dy 0.8331 0.1008 0.5655  2 Y 3.44, 6 Dy 3.44-3.71, 3 Ac 3.68-3.73
5 Dy 0.8331 0.5655 0.1008  2 Y 3.44, 6 Dy 3.44-3.71, 3 Ac 3.68-3.73
6 Dy 0.1669 0.8992 0.4345  2 Y 3.44, 6 Dy 3.44-3.71, 3 Ac 3.68-3.73
7 Dy 0.3945 0.3921 0.3921  7 Dy 3.49-3.73, 2 Y 3.57, 2 Ac 3.90
8 Dy 0.0000 0.0000 0.0000  4 Y 3.47, 2 Dy 3.71, 4 Ac 3.82
9 Dy 0.6055 0.6079 0.6079  7 Dy 3.49-3.73, 2 Y 3.57, 2 Ac 3.90
10 Y 0.5000 0.2452 0.7548  8 Dy 3.44-3.57, 2 Y 3.71
11 Y 0.5000 0.7548 0.2452  8 Dy 3.44-3.57, 2 Y 3.71

ΔH_f (0 K) in meV per atom: 131
DOS(E_F) in states/eV/f.u.: 14.01
Symmetry: C2/m (12)